No. 1
Entry from the Alexandria database: a geometry-optimized Ba3TlAs structure (PBE-GGA).

Results
- electronic total energy (eV/atom) = -3.201
- size of the total moment (μB per formula unit) = 0.000
- ΔE to the lowest computed polymorph (meV/atom) = 0
- formation energy (meV per atom) = -644

a = 14.620 Å, b = 6.499 Å, c = 10.000 Å
α = 90.00°, β = 109.01°, γ = 90.00°
Space group C2/m (No. 12)
Unique sites:
Ba 0.090 0.000 0.230 [4 per cell]
Ba 0.131 0.500 0.887 [4 per cell]
Ba 0.183 0.000 0.648 [4 per cell]
Tl 0.096 0.500 0.462 [4 per cell]
As 0.138 0.000 0.943 [4 per cell]

---

No. 2
Entry from the Alexandria database: a geometry-optimized BaTlAs structure (PBE-GGA).

Results
- electronic total energy (eV/atom) = -3.433
- size of the total moment (μB per formula unit) = 0.000
- ΔE to the lowest computed polymorph (meV/atom) = 250
- formation energy (meV per atom) = -453

a = 4.713 Å, b = 4.713 Å, c = 9.436 Å
α = 90.00°, β = 90.00°, γ = 90.00°
Space group I4mm (No. 107)
Unique sites:
Ba 0.000 0.000 0.000 [2 per cell]
Tl 0.000 0.000 0.342 [2 per cell]
As 0.000 0.000 0.645 [2 per cell]

---

No. 3
Entry from the Alexandria database: a geometry-optimized Ba2TlAs2 structure (PBE-GGA).

Results
- electronic total energy (eV/atom) = -3.946
- size of the total moment (μB per formula unit) = 0.000
- ΔE to the lowest computed polymorph (meV/atom) = 0
- formation energy (meV per atom) = -843

a = 8.354 Å, b = 8.354 Å, c = 4.734 Å
α = 90.00°, β = 90.00°, γ = 90.00°
Space group P4/mbm (No. 127)
Unique sites:
Ba 0.181 0.319 0.000 [4 per cell]
Tl 0.000 0.000 0.500 [2 per cell]
As 0.106 0.606 0.500 [4 per cell]

---

No. 4
Entry from the Alexandria database: a geometry-optimized BaTl6As2 structure (PBE-GGA).

Results
- electronic total energy (eV/atom) = -3.067
- size of the total moment (μB per formula unit) = 0.000
- formation energy (meV per atom) = -243

a = 4.721 Å, b = 4.721 Å, c = 12.507 Å
α = 90.00°, β = 90.00°, γ = 90.00°
Space group P4/mmm (No. 123)
Unique sites:
Ba 0.000 0.000 0.000 [1 per cell]
Tl 0.000 0.000 0.500 [1 per cell]
Tl 0.000 0.500 0.270 [4 per cell]
Tl 0.500 0.500 0.500 [1 per cell]
As 0.500 0.500 0.099 [2 per cell]